# 1
The following is a DFT calculation (PBE-GGA) of Cs3RuBr8 after structural relaxation.

The structure belongs to space group I4/mmm (No. 139); the cell edges are 8.002, 8.002 and 15.404 Å and the angles 90.00°, 90.00° and 90.00°. The inequivalent atoms are Cs at (0.000, 0.000, 0.000), Cs at (0.000, 0.500, 0.250), Ru at (0.000, 0.000, 0.500) and Br at (0.197, 0.197, 0.398).

As for the energy relative to the elements, uncorrected: -0.73 eV/atom. The calculated density comes out at 3835 kg/m³.

***

# 2
The following is a DFT calculation (PBE-GGA) of CsRuBr6 after structural relaxation.

The structure belongs to space group C2/m (No. 12); the cell edges are 8.658, 10.425 and 6.765 Å and the angles 90.00°, 107.31° and 90.00°. The inequivalent atoms are Cs at (0.000, 0.000, 0.000), Ru at (0.000, 0.500, 0.500), Br at (0.100, 0.331, 0.768) and Br at (0.234, 0.000, 0.571).

As for the energy relative to the elements, uncorrected: -0.58 eV/atom. The calculated density comes out at 4064 kg/m³.

***

# 3
The following is a DFT calculation (PBE-GGA) of CsRu3Br after structural relaxation.

The structure belongs to space group Pm-3m (No. 221); the cell edges are 5.101, 5.101 and 5.101 Å and the angles 90.00°, 90.00° and 90.00°. The inequivalent atoms are Cs at (0.000, 0.000, 0.000), Ru at (0.000, 0.000, 0.500) and Br at (0.500, 0.500, 0.500).

As for the energy relative to the elements, uncorrected: 2.78 eV/atom. The calculated density comes out at 6454 kg/m³.

***

no.,total energy (eV per formula unit),size of the total moment (μB per atom)
1,-33.92,0.0000
2,-24.78,0.3795
3,-16.47,1.1989